Run a
Computed, not measured: a geometry-optimized PIrCl2 structure at the GGA-PBE level of DFT.

The space group is Pm (No. 6) and the conventional cell measures 4.482, 3.458 and 6.298 Å, with angles of 90.00, 104.01 and 90.00 degrees. The asymmetric unit holds P at (0.000, 0.000, 0.000), Ir at (0.897, 0.500, 0.766), Cl at (0.363, 0.500, 0.649) and Cl at (0.693, 0.000, 0.210).

The calculation puts the volume at 94.70 Å³/cell. For the density, the calculation gives 5.16 g/cm³. The value obtained for the density of states at the Fermi level is 0.066 states/eV per atom.

Run b
Computed, not measured: a geometry-optimized PIrCl2 structure at the GGA-PBE level of DFT.

The space group is R3m (No. 160, hexagonal axes) and the conventional cell measures 3.4789, 3.4789 and 24.4205 Å, with angles of 90.00, 90.00 and 120.00 degrees. The asymmetric unit holds P at (0.0000, 0.0000, 0.0000), Ir at (0.0000, 0.0000, 0.2900), Cl at (0.0000, 0.0000, 0.5560) and Cl at (0.0000, 0.0000, 0.7447).

The calculation puts the volume at 255.95 Å³/cell. For the density, the calculation gives 5.72 g/cm³.

Best to worst by energy: run b, run a.